[1]
Crystalline KRb2NaI at its relaxed geometry. Source: Alexandria, functional PBE.

Computed properties:
Distance to the lowest polymorph of the same formula (meV per atom): 0
Formation energy (no corrections) (meV/atom): -487.1

The structure in extended XYZ format:
```
5
Lattice="7.1908 0.0000 0.0000 0.0000 7.1908 0.0000 0.0000 0.0000 6.8628" Properties=species:S:1:pos:R:3 pbc="T T T"
K 0.0000 0.0000 0.0000
Rb 0.0000 3.5954 3.4314
Rb 3.5954 0.0000 3.4314
Na 3.5954 3.5954 0.0000
I 0.0000 0.0000 3.4314
```

---

[2]
Crystalline CsBe3Ni at its relaxed geometry. Source: Alexandria, functional PBE.

Computed properties:
Distance to the lowest polymorph of the same formula (meV per atom): 0
Energy of formation (meV/atom): 776

The structure in extended XYZ format:
```
5
Lattice="4.4906 0.0000 0.0000 0.0000 4.4906 0.0000 0.0000 0.0000 4.4906" Properties=species:S:1:pos:R:3 pbc="T T T"
Cs 0.0000 0.0000 0.0000
Be 0.0000 2.2453 2.2453
Be 2.2453 0.0000 2.2453
Be 2.2453 2.2453 0.0000
Ni 2.2453 2.2453 2.2453
```

---

[3]
Crystalline Hf8Ga2Re at its relaxed geometry. Source: Alexandria, functional PBE.

Computed properties:
Energy of formation (meV/atom): -166

The structure in extended XYZ format:
```
11
Lattice="7.7266 -2.2274 0.0000 7.7266 2.2274 0.0000 -2.8838 0.0000 6.5378" Properties=species:S:1:pos:R:3 pbc="T T T"
Hf -0.4158 0.0000 1.9787
Hf 0.5918 0.0000 5.0244
Hf 3.4289 0.0000 3.7525
Hf 6.1919 0.0000 0.3525
Hf 6.3775 0.0000 6.1853
Hf 9.1405 0.0000 2.7853
Hf 11.9776 0.0000 1.5134
Hf 12.9852 0.0000 4.5591
Ga 2.4526 0.0000 1.0952
Ga 10.1169 0.0000 5.4426
Re 6.2847 0.0000 3.2689
```

---

[4]
Crystalline GaSn3Pd at its relaxed geometry. Source: Alexandria, functional PBE.

Computed properties:
Distance to the lowest polymorph of the same formula (meV per atom): 343
Energy of formation (meV/atom): 146

The structure in extended XYZ format:
```
5
Lattice="5.2285 0.0000 0.0000 0.0000 5.2285 0.0000 0.0000 0.0000 5.2285" Properties=species:S:1:pos:R:3 pbc="T T T"
Ga 0.0000 0.0000 0.0000
Sn 0.0000 2.6142 2.6142
Sn 2.6142 0.0000 2.6142
Sn 2.6142 2.6142 0.0000
Pd 2.6142 2.6142 2.6142
```

---

[5]
Crystalline CrSb2Pt at its relaxed geometry. Source: Alexandria, functional PBE.

Computed properties:
Distance to the lowest polymorph of the same formula (meV per atom): 222
Formation energy (no corrections) (meV/atom): 125.1

The structure in extended XYZ format:
```
4
Lattice="3.0327 0.0000 0.0000 0.0000 3.0327 0.0000 0.0000 0.0000 9.1497" Properties=species:S:1:pos:R:3 pbc="T T T"
Cr 0.0000 0.0000 0.0000
Sb 0.0000 0.0000 3.5975
Sb 1.5164 1.5164 7.2874
Pt 1.5164 1.5164 1.5332
```

---

[6]
Crystalline Cd6HgPb at its relaxed geometry. Source: Alexandria, functional PBE.

Computed properties:
Distance to the lowest polymorph of the same formula (meV per atom): 12
Energy of formation (meV/atom): 42

The structure in extended XYZ format:
```
8
Lattice="4.5042 0.0000 0.0000 0.0000 4.5042 0.0000 0.0000 0.0000 9.6182" Properties=species:S:1:pos:R:3 pbc="T T T"
Cd 0.0000 0.0000 0.0000
Cd 0.0000 0.0000 4.8091
Cd 0.0000 2.2521 2.3012
Cd 0.0000 2.2521 7.3169
Cd 2.2521 0.0000 2.3012
Cd 2.2521 0.0000 7.3169
Hg 2.2521 2.2521 0.0000
Pb 2.2521 2.2521 4.8091
```

---

[7]
Crystalline Tm4ThTl at its relaxed geometry. Source: Alexandria, functional PBE.

Computed properties:
Distance to the lowest polymorph of the same formula (meV per atom): 536
Energy of formation (meV/atom): 443

The structure in extended XYZ format:
```
6
Lattice="5.1866 0.0000 0.0000 0.0000 5.1866 0.0000 0.0000 0.0000 7.7096" Properties=species:S:1:pos:R:3 pbc="T T T"
Tm 0.0000 2.5933 1.8446
Tm 0.0000 2.5933 5.8650
Tm 2.5933 0.0000 1.8446
Tm 2.5933 0.0000 5.8650
Th 0.0000 0.0000 3.8548
Tl 2.5933 2.5933 0.0000
```

---

[8]
Crystalline YNiRh2 at its relaxed geometry. Source: Alexandria, functional PBE.

Computed properties:
Energy of formation (meV/atom): 314

The structure in extended XYZ format:
```
4
Lattice="1.4943 0.8628 8.6361 -1.4943 0.8628 8.6361 0.0000 -1.7255 8.6361" Properties=species:S:1:pos:R:3 pbc="T T T"
Y 0.0000 0.0000 0.0000
Ni 0.0000 0.0000 19.5361
Rh 0.0000 0.0000 6.3134
Rh 0.0000 0.0000 12.8154
```